Rb4VO4 | PBE with a Hubbard U | relaxed

E_tot = -91.12 eV for the cell shown
N(E_F) = 4.36 states/eV per cell
density = 3.0 Mg/m³
volume = 500.5 Å³/cell
M_tot = 1.01 μB/cell

Unit cell a=7.3634 b=7.3634 c=9.2314 alpha=90.00 beta=90.00 gamma=90.00
Fractional coordinates of all 18 atoms:
Rb  0.0151  0.2500  0.0638
Rb  0.2500  0.0151  0.5638
Rb  0.2500  0.4849  0.5638
Rb  0.4849  0.2500  0.0638
Rb  0.5151  0.7500  0.9362
Rb  0.7500  0.5151  0.4362
Rb  0.7500  0.9849  0.4362
Rb  0.9849  0.7500  0.9362
V  0.2500  0.7500  0.2500
V  0.7500  0.2500  0.7500
O  0.0585  0.7500  0.3644
O  0.2500  0.5585  0.1356
O  0.2500  0.9415  0.1356
O  0.4415  0.7500  0.3644
O  0.5585  0.2500  0.6356
O  0.7500  0.0585  0.8644
O  0.7500  0.4415  0.8644
O  0.9415  0.2500  0.6356